# 1
! PBE Rb2Ga3Sn4Ge, optimized geometry; values from VASP
&SYSTEM
  ibrav = 0, nat = 10, ntyp = 4
/
ATOMIC_SPECIES
Rb 85.47 Rb.upf
Ga 69.72 Ga.upf
Sn 118.71 Sn.upf
Ge 72.64 Ge.upf
CELL_PARAMETERS angstrom
-0.4854 0.5258 -5.0229
0.6473 -4.9979 -0.5858
-10.9890 -1.5290 0.9018
ATOMIC_POSITIONS angstrom
Rb -3.0592 -0.1290 -2.2803
Rb -7.8488 -3.6361 0.3778
Ga -5.4945 -0.7645 0.4509
Ga -9.8324 -1.0714 -1.7244
Ga -1.0756 -2.6936 -0.1781
Sn 0.0810 -2.2360 -2.8043
Sn 0.0000 0.0000 0.0000
Sn -7.0715 -0.6872 -1.9510
Sn -3.8365 -3.0778 0.0485
Ge -5.4135 -3.0005 -2.3534
! Volume   28.65 Å³ per atom
! Magnetization   0.0 μB per formula unit
! ΔH_f (0 K)   -0.13 eV/atom
! SG   P-4m2

---

# 2
! PBE Rb2Ga4Sn3Ge, optimized geometry; values from VASP
&SYSTEM
  ibrav = 0, nat = 10, ntyp = 4
/
ATOMIC_SPECIES
Rb 85.47 Rb.upf
Ga 69.72 Ga.upf
Sn 118.71 Sn.upf
Ge 72.64 Ge.upf
CELL_PARAMETERS angstrom
-0.8505 3.3811 3.4834
3.0262 -2.3959 3.0644
8.6701 6.0935 -3.7978
ATOMIC_POSITIONS angstrom
Rb 1.7491 3.2187 0.7893
Rb 8.0088 3.3673 -1.3131
Ga 1.0879 0.4926 3.2739
Ga 0.0000 0.0000 0.0000
Ga 4.9609 5.4760 -0.6176
Ga 4.7971 1.1101 0.0937
Sn 4.3350 3.0467 -1.8989
Sn 7.1210 6.9941 -1.5638
Sn 2.6370 -0.4081 1.0399
Ge 5.4229 3.5393 1.3750
! Volume   27.34 Å³ per atom
! Magnetization   0.0 μB per formula unit
! ΔH_f (0 K)   -0.13 eV/atom
! SG   P-4m2

---

# 3
! PBE Rb2Ga4SnGe3, optimized geometry; values from VASP
&SYSTEM
  ibrav = 0, nat = 10, ntyp = 4
/
ATOMIC_SPECIES
Rb 85.47 Rb.upf
Ga 69.72 Ga.upf
Sn 118.71 Sn.upf
Ge 72.64 Ge.upf
CELL_PARAMETERS angstrom
4.8082 0.0000 0.0000
0.0000 4.8082 0.0000
0.0000 0.0000 10.7372
ATOMIC_POSITIONS angstrom
Rb 2.4041 0.0000 2.6103
Rb 0.0000 2.4041 8.1268
Ga 2.4041 2.4041 0.0000
Ga 0.0000 0.0000 0.0000
Ga 2.4041 0.0000 6.8155
Ga 0.0000 2.4041 3.9216
Sn 2.4041 2.4041 5.3686
Ge 0.0000 0.0000 5.3686
Ge 2.4041 0.0000 9.4400
Ge 0.0000 2.4041 1.2972
! Volume   24.82 Å³ per atom
! Magnetization   0.0 μB per formula unit
! ΔH_f (0 K)   -0.10 eV/atom
! SG   P-4m2

---

# 4
! PBE RbGa2TcGe, optimized geometry; values from VASP
&SYSTEM
  ibrav = 0, nat = 5, ntyp = 4
/
ATOMIC_SPECIES
Ge 72.64 Ge.upf
Ga 69.72 Ga.upf
Tc 98.00 Tc.upf
Rb 85.47 Rb.upf
CELL_PARAMETERS angstrom
-0.0369 -1.6543 4.7003
-4.6355 -1.7130 -0.6393
1.7794 -4.2609 -1.4857
ATOMIC_POSITIONS angstrom
Ge 0.8897 -2.1304 -0.7428
Ga -2.3178 -0.8565 -0.3196
Ga -0.0184 -0.8271 2.3501
Tc 0.0000 0.0000 0.0000
Rb -1.4465 -3.8141 1.2877
! Volume   24.09 Å³ per atom
! Magnetization   0.0 μB per formula unit
! ΔH_f (0 K)   -0.16 eV/atom
! SG   P4/mmm

---

# 5
! PBE RbGaGeTe3, optimized geometry; values from VASP
&SYSTEM
  ibrav = 0, nat = 12, ntyp = 4
/
ATOMIC_SPECIES
Rb 85.47 Rb.upf
Ga 69.72 Ga.upf
Ge 72.64 Ge.upf
Te 127.60 Te.upf
CELL_PARAMETERS angstrom
4.4420 0.0000 0.0000
0.0000 9.7607 -0.6348
0.0000 -3.2655 10.4515
ATOMIC_POSITIONS angstrom
Rb 1.1105 1.3833 2.3496
Rb 3.3315 5.1119 7.4671
Ga 1.1105 -1.2648 6.5384
Ga 3.3315 7.7600 3.2783
Ge 1.1105 6.0477 0.8001
Ge 3.3315 0.4475 9.0166
Te 3.3315 8.2794 0.7738
Te 1.1105 -1.7842 9.0429
Te 1.1105 6.3772 4.1489
Te 3.3315 0.1179 5.6678
Te 3.3315 4.1143 1.2836
Te 1.1105 2.3809 8.5331
! Volume   36.99 Å³ per atom
! Magnetization   0.0 μB per formula unit
! SG   P2_1/m
! Formation energy (no corrections)   -0.439 eV/atom

---

# 6
! PBE RbZnGaGe2, optimized geometry; values from VASP
&SYSTEM
  ibrav = 0, nat = 5, ntyp = 4
/
ATOMIC_SPECIES
Rb 85.47 Rb.upf
Zn 65.41 Zn.upf
Ga 69.72 Ga.upf
Ge 72.64 Ge.upf
CELL_PARAMETERS angstrom
-1.8373 -4.1386 1.0171
3.6598 -0.9647 2.6858
-3.4290 4.7024 2.3519
ATOMIC_POSITIONS angstrom
Rb 0.0000 0.0000 0.0000
Zn -2.1776 -0.9939 2.6102
Ga 0.5710 0.5930 3.4446
Ge 0.2959 -2.0260 2.8787
Ge -1.9025 1.6251 3.1761
! Volume   23.05 Å³ per atom
! Magnetization   0.0 μB per formula unit
! ΔH_f (0 K)   -0.07 eV/atom
! SG   I-4m2

---

# 7
! PBE Ga3ReGe, optimized geometry; values from VASP
&SYSTEM
  ibrav = 0, nat = 10, ntyp = 3
/
ATOMIC_SPECIES
Re 186.21 Re.upf
Ge 72.64 Ge.upf
Ga 69.72 Ga.upf
CELL_PARAMETERS angstrom
3.7902 -5.3866 0.0000
3.7902 5.3866 0.0000
0.0000 0.0000 4.7722
ATOMIC_POSITIONS angstrom
Re 3.7902 3.1191 1.1931
Re 3.7902 -3.1191 3.5792
Ge 3.7902 0.6465 1.1931
Ge 3.7902 -0.6465 3.5792
Ga 5.0762 -2.9331 1.1931
Ga 2.5043 -2.9331 1.1931
Ga 5.0762 2.9331 3.5792
Ga 2.5043 2.9331 3.5792
Ga 0.0000 0.0000 0.0000
Ga 0.0000 0.0000 2.3861
! Volume   19.49 Å³ per atom
! Magnetization   0.0 μB per formula unit
! ΔH_f (0 K)   0.21 eV/atom
! SG   Cmcm
! Relative energy among the computed polymorphs   197.1 meV per atom

---

# 8
! PBE Ga3ReGe, optimized geometry; values from VASP
&SYSTEM
  ibrav = 0, nat = 5, ntyp = 3
/
ATOMIC_SPECIES
Re 186.21 Re.upf
Ge 72.64 Ge.upf
Ga 69.72 Ga.upf
CELL_PARAMETERS angstrom
-0.0267 0.6228 2.7087
-7.4321 4.2796 -1.0573
2.1401 -8.1544 1.8960
ATOMIC_POSITIONS angstrom
Re 1.3113 -6.7838 2.9988
Ge -1.4735 -3.4605 0.7811
Ga -1.0666 -0.9636 1.6371
Ga -3.7561 -2.9329 2.0634
Ga 0.0611 -5.4539 1.2546
! Volume   29.35 Å³ per atom
! Magnetization   0.0 μB per formula unit
! ΔH_f (0 K)   0.59 eV/atom
! SG   Amm2
! Relative energy among the computed polymorphs   581.1 meV per atom

---

| no. | calculated density (g/cm3) |
| --- | --- |
| 1 | 5.376 |
| 2 | 5.336 |
| 3 | 5.261 |
| 4 | 5.453 |
| 5 | 4.568 |
| 6 | 5.272 |
| 7 | 7.976 |
| 8 | 5.296 |